This record from Alexandria via LeMat-Bulk describes a geometry-optimized POsAu2 structure. The functional is PBE-GGA.

Values from the calculation:
Formation enthalpy at 0 K   0.36 eV/atom

a b c (Å): 6.6614 6.6614 6.6614
angles (deg): 154.60 147.47 41.72
With the nearest neighbours (Å) after each atom.
Sites, in units of the cell vectors:
P 0.0000 0.0000 0.0000  4 Os 2.37
Os 0.5000 0.5000 0.0000  4 P 2.37
Au 0.1841 0.6841 0.5000  2 P 2.72, 6 Au 2.88-2.93, 2 Os 2.96
Au 0.8159 0.3159 0.5000  2 P 2.72, 6 Au 2.88-2.93, 2 Os 2.96

This record from Alexandria via LeMat-Bulk describes a geometry-optimized POs2Au structure. The functional is PBE-GGA.

Values from the calculation:
Formation enthalpy at 0 K   0.47 eV/atom

a b c (Å): 6.3196 6.3196 6.3196
angles (deg): 153.18 146.32 43.57
With the nearest neighbours (Å) after each atom.
Sites, in units of the cell vectors:
P 0.0000 0.0000 0.0000  6 Os 2.29-2.42
Os 0.1501 0.6501 0.5000  2 P 2.29
Os 0.4509 0.4509 0.0000  4 P 2.42
Au 0.7714 0.2714 0.5000  6 Os 2.74-2.79, 2 Au 2.93, 2 P 3.06

This record from Alexandria via LeMat-Bulk describes a geometry-optimized POsAu2 structure. The functional is PBE-GGA.

Values from the calculation:
Formation enthalpy at 0 K   0.63 eV/atom

a b c (Å): 9.0199 9.0199 9.0199
angles (deg): 18.57 18.57 18.57
With the nearest neighbours (Å) after each atom.
Sites, in units of the cell vectors:
P 0.0000 0.0000 0.0000  6 Au 2.72, 6 P 2.91
Os 0.5000 0.5000 0.5000  6 Au 2.84, 6 Os 2.91
Au 0.2530 0.2530 0.2530  3 P 2.72, 3 Os 2.84, 6 Au 2.91
Au 0.7470 0.7470 0.7470  3 P 2.72, 3 Os 2.84, 6 Au 2.91

This record from Alexandria via LeMat-Bulk describes a geometry-optimized P2OsAu structure. The functional is PBE-GGA.

Values from the calculation:
Formation enthalpy at 0 K   0.62 eV/atom
E above lowest polymorph   666 meV/atom

a b c (Å): 4.3767 4.3767 4.3767
angles (deg): 60.00 60.00 60.00
With the nearest neighbours (Å) after each atom.
Sites, in units of the cell vectors:
P 0.2500 0.2500 0.2500  4 Os 2.68, 4 Au 2.68
P 0.7500 0.7500 0.7500  4 Au 2.68, 4 Os 2.68
Os 0.0000 0.0000 0.0000  8 P 2.68
Au 0.5000 0.5000 0.5000  8 P 2.68

This record from Alexandria via LeMat-Bulk describes a geometry-optimized POs2Au structure. The functional is PBE-GGA.

Values from the calculation:
Formation enthalpy at 0 K   0.60 eV/atom

a b c (Å): 2.7810 2.7810 9.5939
angles (deg): 90.00 90.00 120.37
With the nearest neighbours (Å) after each atom.
Sites, in units of the cell vectors:
P 0.0000 0.0000 0.0000  2 Os 2.43
Os 0.0000 0.0000 0.5583  8 Os 2.64-2.78, 2 Au 2.90
Os 0.5000 0.5000 0.7922  2 P 2.43, 2 Os 2.64
Au 0.5000 0.5000 0.2927  6 Au 2.77-2.78, 2 Os 2.90

This record from Alexandria via LeMat-Bulk describes a geometry-optimized P2OsAu structure. The functional is PBE-GGA.

Values from the calculation:
Formation enthalpy at 0 K   0.44 eV/atom
E above lowest polymorph   485 meV/atom

a b c (Å): 2.6754 4.2431 5.7336
angles (deg): 90.00 90.24 90.00
With the nearest neighbours (Å) after each atom.
Sites, in units of the cell vectors:
P 0.0013 0.0000 0.2069  1 P 2.37, 2 Os 2.43
P 0.9987 0.0000 0.7931  1 P 2.37, 2 Os 2.43
Os 0.0000 0.5000 0.0000  4 P 2.43, 2 Os 2.68
Au 0.0000 0.5000 0.5000  2 Au 2.68, 4 P 2.71, 2 Os 2.87